Entry 1:
First-principles (PBE) data for an optimized crystal structure of CsZn2GaAg, as listed in Alexandria.

```
CsZn2GaAg
1.0
6.571 0.000 0.000
0.000 6.503 0.000
0.000 0.000 6.571
Zn Ag Ga Cs
2 1 1 1
Direct
0.000 0.000 0.500
0.500 0.000 0.000
0.000 0.500 0.000
0.500 0.500 0.500
0.000 0.000 0.000
```

Output
SG = P4/mmm
formation enthalpy at 0 K = 1020.4 meV/atom
raw total energy = -0.836 eV/atom

Entry 2:
First-principles (PBE) data for an optimized crystal structure of SrMo2Pb, as listed in Alexandria.

```
SrMo2Pb
1.0
10.033 -0.010 -0.006
9.467 3.324 -0.006
9.467 1.609 2.909
Sr Mo Pb
1 2 1
Direct
0.742 0.742 0.742
0.263 0.263 0.263
0.983 0.983 0.983
0.512 0.512 0.512
```

Output
SG = R3m
formation enthalpy at 0 K = 553.1 meV/atom
raw total energy = -6.210 eV/atom

Entry 3:
First-principles (PBE) data for an optimized crystal structure of Zr2TaW, as listed in Alexandria.

```
Zr2TaW
1.0
3.346 0.000 0.000
0.000 3.346 0.000
0.000 0.000 7.036
Ta Zr W
1 2 1
Direct
0.500 0.500 0.250
0.000 0.000 0.986
0.000 0.000 0.514
0.500 0.500 0.750
```

Output
SG = P4/mmm
formation enthalpy at 0 K = 220.6 meV/atom
raw total energy = -10.255 eV/atom

Entry 4:
First-principles (PBE) data for an optimized crystal structure of TaCuRh, as listed in Alexandria.

```
TaCuRh
1.0
-2.022 -1.424 -3.426
-0.695 -4.140 -0.474
-3.920 -1.537 0.348
Rh Cu Ta
1 1 1
Direct
0.500 0.500 0.500
0.000 0.000 0.000
0.750 0.750 0.750
```

Output
SG = F-43m
formation enthalpy at 0 K = 333.6 meV/atom
raw total energy = -7.433 eV/atom

Entry 5:
First-principles (PBE) data for an optimized crystal structure of CaIn2Co, as listed in Alexandria.

```
CaIn2Co
1.0
6.869 0.005 0.017
-2.664 4.692 0.007
1.541 0.886 2.761
Ca In Co
1 2 1
Direct
0.000 0.500 0.500
0.500 0.000 0.500
0.000 0.000 0.000
0.500 0.500 0.000
```

Output
SG = C2/m
formation enthalpy at 0 K = 205.1 meV/atom
raw total energy = -3.441 eV/atom

Entry 6:
First-principles (PBE) data for an optimized crystal structure of Tm4HgRuAu2, as listed in Alexandria.

```
Tm4HgRuAu2
1.0
-1.529 -4.162 2.318
1.788 -1.141 4.531
-6.010 2.394 5.737
Tm Au Ru Hg
4 2 1 1
Direct
0.617 0.617 0.148
0.131 0.131 0.606
0.869 0.869 0.394
0.383 0.383 0.852
0.747 0.747 0.760
0.253 0.253 0.240
0.500 0.500 0.500
0.000 0.000 0.000
```

Output
SG = R-3m
formation enthalpy at 0 K = -675.2 meV/atom
raw total energy = -4.928 eV/atom

Entry 7:
First-principles (PBE) data for an optimized crystal structure of Pm2Nd3Sm6Ho, as listed in Alexandria.

```
Pm2Nd3Sm6Ho
1.0
-1.520 4.618 4.007
0.457 -5.935 2.063
11.865 2.155 0.360
Sm Nd Pm Ho
6 3 2 1
Direct
0.917 0.585 0.752
0.750 0.750 0.248
0.083 0.415 0.248
0.415 0.083 0.248
0.585 0.917 0.752
0.250 0.250 0.752
0.167 0.833 0.500
0.500 0.500 0.500
0.833 0.167 0.500
0.333 0.667 0.000
0.667 0.333 0.000
0.000 0.000 0.000
```

Output
SG = C2/m
formation enthalpy at 0 K = 13.8 meV/atom
raw total energy = -4.711 eV/atom

Entry 8:
First-principles (PBE) data for an optimized crystal structure of GaHgTeCl, as listed in Alexandria.

```
GaHgTeCl
1.0
-2.422 -3.217 -0.940
3.451 0.694 -2.171
3.942 -5.377 8.248
Te Cl Hg Ga
1 1 1 1
Direct
0.984 0.969 0.624
0.549 0.097 0.298
0.420 0.840 0.950
0.614 0.228 0.506
```

Output
SG = Cm
raw formation energy = -499 meV per atom
raw total energy = -2.578 eV/atom

Entry 9:
First-principles (PBE) data for an optimized crystal structure of YBeGa2F, as listed in Alexandria.

```
YBeGa2F
1.0
-0.134 -2.696 5.132
2.092 -4.279 -2.194
5.315 1.991 1.184
Ga Y F Be
2 1 1 1
Direct
0.500 0.000 0.000
0.000 0.000 0.500
0.000 0.000 0.000
0.500 0.500 0.500
0.000 0.500 0.000
```

Output
SG = P4/mmm
raw formation energy = 812 meV per atom
raw total energy = -2.811 eV/atom

Entry 10:
First-principles (PBE) data for an optimized crystal structure of HfCu3Ni2, as listed in Alexandria.

```
HfCu3Ni2
1.0
-0.331 1.983 4.171
4.458 -1.206 -0.333
2.324 6.886 -2.405
Cu Hf Ni
6 2 4
Direct
0.799 0.609 0.465
0.461 0.539 0.250
0.391 0.201 0.035
0.539 0.461 0.750
0.609 0.799 0.965
0.201 0.391 0.535
0.860 0.140 0.250
0.140 0.860 0.750
0.695 0.043 0.617
0.305 0.957 0.383
0.957 0.305 0.883
0.043 0.695 0.117
```

Output
SG = C2/c
formation enthalpy at 0 K = -155.0 meV/atom
raw total energy = -5.789 eV/atom

Entry 11:
First-principles (PBE) data for an optimized crystal structure of Tb4PmSm2Y2, as listed in Alexandria.

```
Tb4PmSm2Y2
1.0
3.620 0.000 0.000
-1.810 9.380 -0.525
0.000 -3.683 8.888
Tb Sm Pm Y
4 2 1 2
Direct
0.481 0.962 0.665
0.186 0.371 0.336
0.519 0.038 0.335
0.814 0.629 0.664
0.667 0.334 0.001
0.333 0.666 0.999
0.000 0.000 0.000
0.147 0.294 0.665
0.853 0.706 0.335
```

Output
SG = C2/m
formation enthalpy at 0 K = -3.2 meV/atom
raw total energy = -5.074 eV/atom

Entry 12:
First-principles (PBE) data for an optimized crystal structure of YHgH, as listed in Alexandria.

```
YHgH
1.0
3.691 -0.445 -0.001
0.444 3.692 -0.001
0.003 0.002 7.784
Y H Hg
2 2 2
Direct
0.981 0.993 0.043
0.481 0.493 0.715
0.481 0.993 0.879
0.981 0.493 0.879
0.481 0.493 0.269
0.981 0.993 0.489
```

Output
SG = P4/nmm
raw total energy = -3.930 eV/atom

Entry 13:
First-principles (PBE) data for an optimized crystal structure of BaCo3Sn, as listed in Alexandria.

```
BaCo3Sn
1.0
4.922 0.000 0.000
0.000 4.922 0.000
0.000 0.000 4.922
Co Ba Sn
3 1 1
Direct
0.000 0.500 0.000
0.000 0.000 0.500
0.500 0.000 0.000
0.500 0.500 0.500
0.000 0.000 0.000
```

Output
SG = Pm-3m
formation enthalpy at 0 K = 759.5 meV/atom
raw total energy = -4.689 eV/atom

Entry 14:
First-principles (PBE) data for an optimized crystal structure of V2BiOs2, as listed in Alexandria.

```
V2BiOs2
1.0
-5.984 -2.664 3.785
3.880 -6.261 1.727
0.973 1.275 2.436
V Os Bi
4 4 2
Direct
0.148 0.648 0.500
0.352 0.148 0.500
0.648 0.852 0.500
0.852 0.352 0.500
0.134 0.366 0.000
0.866 0.634 0.000
0.634 0.134 0.000
0.366 0.866 0.000
0.000 0.000 0.000
0.500 0.500 0.000
```

Output
SG = P4/mbm
formation enthalpy at 0 K = 199.0 meV/atom
raw total energy = -8.716 eV/atom

Entry 15:
First-principles (PBE) data for an optimized crystal structure of CrNi4Pt, as listed in Alexandria.

```
CrNi4Pt
1.0
0.000 3.316 3.316
3.316 0.000 3.316
3.316 3.316 0.000
Ni Cr Pt
4 1 1
Direct
0.375 0.375 0.375
0.375 0.875 0.375
0.375 0.375 0.875
0.875 0.375 0.375
0.000 0.000 0.000
0.750 0.750 0.750
```

Output
SG = F-43m
formation enthalpy at 0 K = 23.0 meV/atom
raw total energy = -6.442 eV/atom

Entry 16:
First-principles (PBE) data for an optimized crystal structure of LaYTm2S6, as listed in Alexandria.

```
LaYTm2S6
1.0
6.975 0.000 0.000
3.488 6.041 0.000
3.488 2.014 6.134
Y Tm S La
1 2 6 1
Direct
0.315 0.315 0.055
0.013 0.013 0.961
0.518 0.518 0.447
0.907 0.620 0.244
0.383 0.727 0.745
0.620 0.228 0.244
0.145 0.383 0.745
0.228 0.907 0.244
0.727 0.145 0.745
0.806 0.806 0.583
```

Output
SG = R3
raw formation energy = -2081 meV per atom
raw total energy = -6.591 eV/atom

Entry 17:
First-principles (PBE) data for an optimized crystal structure of Mg2SnPd8, as listed in Alexandria.

```
Mg2SnPd8
1.0
4.289 0.000 -1.305
-0.899 5.203 -2.955
-0.004 0.847 7.687
Pd Mg Sn
8 2 1
Direct
0.171 0.171 0.343
0.650 0.880 0.301
0.000 0.271 0.000
0.350 0.580 0.699
0.650 0.420 0.301
0.000 0.729 0.000
0.350 0.120 0.699
0.829 0.829 0.657
0.812 0.312 0.624
0.188 0.688 0.376
0.500 0.000 0.000
```

Output
SG = Immm
formation enthalpy at 0 K = -443.0 meV/atom
raw total energy = -4.873 eV/atom

Entry 18:
First-principles (PBE) data for an optimized crystal structure of PrTl2Br5, as listed in Alexandria.

```
PrTl2Br5
1.0
8.684 0.000 0.000
0.000 9.278 0.000
0.000 0.000 13.667
Br Pr Tl
20 4 8
Direct
0.833 0.455 0.924
0.380 0.750 0.317
0.160 0.250 0.794
0.423 0.250 0.008
0.667 0.455 0.424
0.340 0.250 0.294
0.660 0.750 0.706
0.577 0.750 0.992
0.167 0.955 0.076
0.333 0.955 0.576
0.333 0.545 0.576
0.923 0.750 0.492
0.880 0.250 0.183
0.833 0.045 0.924
0.077 0.250 0.507
0.840 0.750 0.206
0.120 0.750 0.817
0.620 0.250 0.683
0.667 0.045 0.424
0.167 0.545 0.076
0.078 0.250 0.006
0.922 0.750 0.994
0.578 0.750 0.494
0.422 0.250 0.506
0.445 0.998 0.826
0.945 0.002 0.674
0.555 0.002 0.174
0.945 0.498 0.674
0.555 0.498 0.174
0.055 0.998 0.326
0.055 0.502 0.326
0.445 0.502 0.826
```

Output
SG = Pnma
raw formation energy = -1402 meV per atom
raw total energy = -3.637 eV/atom

Entry 19:
First-principles (PBE) data for an optimized crystal structure of AcCu2SO8, as listed in Alexandria.

```
AcCu2SO8
1.0
4.902 0.000 0.000
-2.451 4.245 0.000
0.000 0.000 6.637
Cu S O Ac
2 1 8 1
Direct
0.667 0.333 0.131
0.333 0.667 0.869
0.000 0.000 0.000
0.685 0.842 0.144
0.667 0.333 0.408
0.842 0.158 0.856
0.158 0.842 0.144
0.842 0.685 0.856
0.333 0.667 0.592
0.315 0.158 0.856
0.158 0.315 0.144
0.000 0.000 0.500
```

Output
SG = P-3m1
raw formation energy = -822 meV per atom
raw total energy = -5.496 eV/atom